Density functional theory data (PBE) for an optimized crystal structure of Rb3TcCl7.

Unit cell a=6.7406 b=6.7406 c=8.5464 alpha=78.68 beta=78.68 gamma=91.66
Last column: magnetic moment on the atom in μB.
Element x y z (fractional)
Tc 0.0232 0.0232 0.9804  2.30
Rb 0.6887 0.1488 0.4757  0.00
Rb 0.5057 0.5057 0.9199  0.00
Rb 0.1488 0.6887 0.4757  0.00
Cl 0.3606 0.0171 0.8339  0.05
Cl 0.6857 0.0368 0.1187  0.06
Cl 0.6150 0.6150 0.5249  0.01
Cl 0.0368 0.6857 0.1187  0.06
Cl 0.8999 0.8999 0.7716  0.03
Cl 0.1434 0.1434 0.1966  0.03
Cl 0.0171 0.3606 0.8339  0.05

## Properties
- Uncorrected formation energy: -1.399 eV/atom
- M_tot: 3.0 μB per cell
- VASP energy: -3.7803 eV per atom
- V: 33.86 Å³ per atom